# KMnP2S (PBE, optimized geometry)
data_KMnP2S
_space_group_name_H-M_alt 'P 1'
_space_group_IT_number 1
_space_group_name_Hall 'P 1'
_cell_length_a 4.320
_cell_length_b 4.320
_cell_length_c 5.393
_cell_angle_alpha 90.00
_cell_angle_beta 90.00
_cell_angle_gamma 90.00
loop_
_atom_site_label
_atom_site_fract_x
_atom_site_fract_y
_atom_site_fract_z
_atom_site_occupancy
P1 0.000 0.500 0.000 1
P2 0.500 0.000 0.000 1
K1 0.500 0.500 0.500 1
Mn1 0.000 0.000 0.000 1
S1 0.000 0.000 0.500 1
# Energy above the lowest structure with this stoichiometry, meV/atom: 0
# E_form (uncorrected), eV/atom: 0.03
# SG: No. 123
# Total energy, eV/atom: -5.009